Record 1
# PBE Nd2SmTc9, optimized geometry
data_Nd2SmTc9
_space_group_name_H-M_alt 'R -3 m'
_space_group_IT_number 166
_space_group_name_Hall '-R 3 2"'
_cell_length_a 5.4334
_cell_length_b 5.4334
_cell_length_c 26.2885
_cell_angle_alpha 90.00
_cell_angle_beta 90.00
_cell_angle_gamma 120.00
loop_
_atom_site_label
_atom_site_fract_x
_atom_site_fract_y
_atom_site_fract_z
_atom_site_occupancy
Nd1 0.0000 0.0000 0.1439 1
Sm1 0.0000 0.0000 0.0000 1
Tc1 0.0000 0.0000 0.3388 1
Tc2 0.0000 0.0000 0.5000 1
Tc3 0.0088 0.5044 0.9183 1
# **Formation enthalpy at 0 K**: 0.077 eV/atom

=====

Record 2
# PBE Nd3SmTe, optimized geometry
data_Nd3SmTe
_space_group_name_H-M_alt 'P 1 21/m 1'
_space_group_IT_number 11
_space_group_name_Hall '-P 2yb'
_cell_length_a 6.456
_cell_length_b 5.852
_cell_length_c 9.267
_cell_angle_alpha 90.00
_cell_angle_beta 107.88
_cell_angle_gamma 90.00
loop_
_atom_site_label
_atom_site_fract_x
_atom_site_fract_y
_atom_site_fract_z
_atom_site_occupancy
Nd1 0.194 0.250 0.000 1
Nd2 0.258 0.750 0.731 1
Nd3 0.296 0.250 0.418 1
Sm1 0.387 0.750 0.193 1
Te1 0.007 0.750 0.359 1
# **Formation energy from raw total energies**: -9.89 kcal/mol of atoms

=====

Record 3
# PBE NdSm2Te, optimized geometry
data_NdSm2Te
_space_group_name_H-M_alt 'P 4/m m m'
_space_group_IT_number 123
_space_group_name_Hall '-P 4 2'
_cell_length_a 4.878
_cell_length_b 4.878
_cell_length_c 4.913
_cell_angle_alpha 90.00
_cell_angle_beta 90.00
_cell_angle_gamma 90.00
loop_
_atom_site_label
_atom_site_fract_x
_atom_site_fract_y
_atom_site_fract_z
_atom_site_occupancy
Nd1 0.000 0.000 0.000 1
Sm1 0.000 0.500 0.500 1
Te1 0.500 0.500 0.000 1
# **Formation energy from raw total energies**: -11.81 kcal/mol of atoms
# **Distance to the lowest polymorph of the same formula**: 0.1726 eV per atom

=====

The calculation returns the following total DFT energy (no corrections) values, one per record and in order: -8.89 -4.86 -4.85 eV per atom.
The calculation returns the following DOS at the Fermi energy values, one per record and in order: 47.5 8.8 4.5 states/eV per cell.
The calculation returns the following size of the total moment values, one per record and in order: 0.000 0.000 0.000 μB/f.u..